Record 1
Compound: LiPrZnSe3
Source: OQMD via LeMat-Bulk
Functional: PBE
Structure: relaxed

Geometry as POSCAR:
```
LiPrZnSe3
1.0
-4.488 3.620 5.493
0.636 -3.140 2.589
9.110 3.666 2.208
Pr Se Li Zn
2 6 2 2
Direct
0.667 0.250 0.659
0.333 0.750 0.341
0.401 0.750 0.646
0.061 0.250 0.348
0.775 0.250 0.965
0.939 0.750 0.652
0.225 0.750 0.035
0.599 0.250 0.354
0.830 0.750 0.375
0.170 0.250 0.625
0.076 0.250 0.103
0.924 0.750 0.897
```

Results
As for the space group: P2_1/m. For the relative energy among the computed polymorphs, the calculation gives 0.0 meV/atom.

Record 2
Compound: LiPrZnSe3
Source: OQMD via LeMat-Bulk
Functional: PBE
Structure: relaxed

Geometry as POSCAR:
```
LiPrZnSe3
1.0
-6.365 7.325 2.607
-8.926 4.318 1.626
1.972 -3.850 6.650
Se Zn Pr Li
6 2 2 2
Direct
0.334 0.334 0.631
0.667 0.667 0.842
0.500 0.500 0.500
0.666 0.666 0.369
0.000 0.000 0.000
0.333 0.333 0.158
0.462 0.462 0.770
0.538 0.538 0.230
0.181 0.181 0.117
0.819 0.819 0.883
0.103 0.103 0.598
0.897 0.897 0.402
```

Results
As for the space group: C2/m. For the relative energy among the computed polymorphs, the calculation gives 114.0 meV/atom.

Record 3
Compound: LiPrZnSe3
Source: OQMD via LeMat-Bulk
Functional: PBE
Structure: relaxed

Geometry as POSCAR:
```
LiPrZnSe3
1.0
12.041 0.000 0.000
0.000 4.147 0.000
0.000 0.000 11.817
Se Pr Li Zn
12 4 4 4
Direct
0.711 0.750 0.829
0.401 0.750 0.433
0.289 0.250 0.171
0.789 0.250 0.329
0.211 0.750 0.671
0.068 0.750 0.367
0.432 0.250 0.867
0.932 0.250 0.633
0.099 0.250 0.933
0.901 0.750 0.067
0.568 0.750 0.133
0.599 0.250 0.567
0.968 0.750 0.819
0.032 0.250 0.181
0.468 0.750 0.681
0.532 0.250 0.319
0.120 0.250 0.511
0.880 0.750 0.489
0.380 0.750 0.011
0.620 0.250 0.989
0.759 0.750 0.210
0.259 0.750 0.290
0.741 0.250 0.710
0.241 0.250 0.790
```

Results
As for the space group: Pnma. For the relative energy among the computed polymorphs, the calculation gives 3.8 meV/atom.

Record 4
Compound: LiPrZnSe3
Source: OQMD via LeMat-Bulk
Functional: PBE
Structure: relaxed

Geometry as POSCAR:
```
LiPrZnSe3
1.0
4.076 0.000 0.000
2.038 6.521 0.000
0.000 0.000 11.323
Zn Se Li Pr
2 6 2 2
Direct
0.525 0.951 0.250
0.475 0.049 0.750
0.909 0.182 0.250
0.647 0.706 0.415
0.647 0.706 0.085
0.091 0.818 0.750
0.353 0.294 0.585
0.353 0.294 0.915
0.780 0.441 0.750
0.220 0.559 0.250
0.000 0.000 0.500
0.000 0.000 0.000
```

Results
As for the space group: Cmcm. For the relative energy among the computed polymorphs, the calculation gives 32.8 meV/atom.

Record 5
Compound: LiPrZnSe3
Source: OQMD via LeMat-Bulk
Functional: PBE
Structure: relaxed

Geometry as POSCAR:
```
LiPrZnSe3
1.0
8.294 0.000 0.000
0.000 4.184 0.000
0.000 0.000 17.204
Zn Se Li Pr
4 12 4 4
Direct
0.140 0.250 0.356
0.860 0.750 0.644
0.360 0.750 0.856
0.640 0.250 0.144
0.807 0.750 0.780
0.693 0.250 0.280
0.998 0.750 0.410
0.002 0.250 0.590
0.193 0.250 0.220
0.307 0.750 0.720
0.627 0.750 0.558
0.502 0.250 0.910
0.127 0.750 0.942
0.498 0.750 0.090
0.373 0.250 0.442
0.873 0.250 0.058
0.106 0.250 0.737
0.394 0.750 0.237
0.894 0.750 0.263
0.606 0.250 0.763
0.734 0.250 0.449
0.266 0.750 0.551
0.766 0.750 0.949
0.234 0.250 0.051
```

Results
As for the space group: Pnma. For the relative energy among the computed polymorphs, the calculation gives 50.1 meV/atom.

Record 6
Compound: LiPrSi
Source: OQMD via LeMat-Bulk
Functional: PBE
Structure: relaxed

Geometry as POSCAR:
```
LiPrSi
1.0
-2.067 -2.729 3.412
-4.539 -1.560 -0.574
-0.858 -4.682 -0.841
Li Si Pr
1 1 1
Direct
0.250 0.250 0.250
0.750 0.750 0.750
0.000 0.000 0.000
```

Results
As for the space group: F-43m. The raw total energy comes out at -3.926 eV per atom.

Record 7
Compound: LiPrSi
Source: OQMD via LeMat-Bulk
Functional: PBE
Structure: relaxed

Geometry as POSCAR:
```
LiPrSi
1.0
-0.113 -4.010 -2.075
-1.591 -3.624 2.175
-3.959 -1.804 -1.213
Pr Si Li
1 1 1
Direct
0.250 0.250 0.250
0.750 0.750 0.750
0.000 0.000 0.000
```

Results
As for the space group: F-43m. The raw total energy comes out at -4.361 eV per atom.

Record 8
Compound: LiPrSi
Source: OQMD via LeMat-Bulk
Functional: PBE
Structure: relaxed

Geometry as POSCAR:
```
LiPrSi
1.0
0.000 3.381 3.381
3.381 0.000 3.381
3.381 3.381 0.000
Pr Li Si
1 1 1
Direct
0.750 0.750 0.750
0.250 0.250 0.250
0.000 0.000 0.000
```

Results
As for the space group: F-43m. The raw total energy comes out at -4.432 eV per atom.

Record 9
Compound: LiPrSm
Source: OQMD via LeMat-Bulk
Functional: PBE
Structure: relaxed

Geometry as POSCAR:
```
LiPrSm
1.0
0.000 3.641 3.641
3.641 0.000 3.641
3.641 3.641 0.000
Li Pr Sm
1 1 1
Direct
0.000 0.000 0.000
0.250 0.250 0.250
0.750 0.750 0.750
```

Results
As for the space group: F-43m. For the relative energy among the computed polymorphs, the calculation gives 0.0 meV/atom.

Record 10
Compound: Li2Pr3Sn4
Source: OQMD via LeMat-Bulk
Functional: PBE
Structure: relaxed

Geometry as POSCAR:
```
Li2Pr3Sn4
1.0
5.823 -2.349 0.000
5.823 2.349 0.000
-2.768 0.000 8.619
Pr Li Sn
3 2 4
Direct
0.637 0.637 0.185
0.000 0.000 0.500
0.363 0.363 0.815
0.678 0.678 0.854
0.322 0.322 0.146
0.076 0.076 0.893
0.706 0.706 0.569
0.294 0.294 0.431
0.924 0.924 0.107
```

Results
As for the space group: C2/m. The raw total energy comes out at -4.472 eV per atom.

Record 11
Compound: LiPrSn
Source: OQMD via LeMat-Bulk
Functional: PBE
Structure: relaxed

Geometry as POSCAR:
```
LiPrSn
1.0
5.390 0.000 0.000
-2.695 4.668 0.000
0.000 0.000 6.485
Sn Pr Li
2 2 2
Direct
0.333 0.667 0.250
0.667 0.333 0.750
0.667 0.333 0.250
0.333 0.667 0.750
0.000 0.000 0.500
0.000 0.000 0.000
```

Results
As for the space group: P6_3/mmc. The raw total energy comes out at -4.139 eV per atom.

Record 12
Compound: LiPrSn
Source: OQMD via LeMat-Bulk
Functional: PBE
Structure: relaxed

Geometry as POSCAR:
```
LiPrSn
1.0
-2.532 1.925 3.563
-1.938 4.335 -0.518
-4.736 0.465 -0.415
Sn Li Pr
1 1 1
Direct
0.750 0.750 0.750
0.000 0.000 0.000
0.250 0.250 0.250
```

Results
As for the space group: F-43m. The raw total energy comes out at -4.070 eV per atom.

Record 13
Compound: LiPrSn
Source: OQMD via LeMat-Bulk
Functional: PBE
Structure: relaxed

Geometry as POSCAR:
```
LiPrSn
1.0
7.747 0.000 0.000
0.000 4.771 0.000
0.000 0.000 8.260
Li Pr Sn
4 4 4
Direct
0.319 0.750 0.421
0.181 0.250 0.921
0.681 0.250 0.579
0.819 0.750 0.079
0.499 0.750 0.779
0.501 0.250 0.221
0.999 0.750 0.721
0.001 0.250 0.279
0.273 0.250 0.589
0.773 0.250 0.911
0.227 0.750 0.089
0.727 0.750 0.411
```

Results
As for the space group: Pnma. The raw total energy comes out at -4.230 eV per atom.

Record 14
Compound: LiPrSn
Source: OQMD via LeMat-Bulk
Functional: PBE
Structure: relaxed

Geometry as POSCAR:
```
LiPrSn
1.0
-3.585 2.896 1.279
1.260 -3.641 2.833
5.016 4.590 3.668
Li Pr Sn
2 2 2
Direct
0.333 0.667 0.025
0.667 0.333 0.525
0.000 0.000 0.246
0.000 0.000 0.746
0.333 0.667 0.480
0.667 0.333 0.980
```

Results
As for the space group: P6_3mc. The raw total energy comes out at -4.224 eV per atom.

Record 15
Compound: Li3Tb2PrSn3
Source: OQMD via LeMat-Bulk
Functional: PBE
Structure: relaxed

Geometry as POSCAR:
```
Li3Tb2PrSn3
1.0
-4.526 0.599 1.219
1.930 -4.311 0.128
3.091 1.698 10.639
Li Sn Tb Pr
3 3 2 1
Direct
0.000 0.000 0.804
0.333 0.667 0.500
0.000 0.000 0.196
0.333 0.667 0.819
0.000 0.000 0.500
0.333 0.667 0.181
0.667 0.333 0.339
0.667 0.333 0.661
0.667 0.333 0.000
```

Results
As for the space group: P-6m2. The raw total energy comes out at -4.163 eV per atom.

Record 16
Compound: SrLiPr
Source: OQMD via LeMat-Bulk
Functional: PBE
Structure: relaxed

Geometry as POSCAR:
```
SrLiPr
1.0
0.000 3.876 3.876
3.876 0.000 3.876
3.876 3.876 0.000
Li Pr Sr
1 1 1
Direct
0.000 0.000 0.000
0.250 0.250 0.250
0.750 0.750 0.750
```

Results
As for the space group: F-43m. For the relative energy among the computed polymorphs, the calculation gives 0.0 meV/atom.

Record 17
Compound: SrLiPrTe3
Source: OQMD via LeMat-Bulk
Functional: PBE
Structure: relaxed

Geometry as POSCAR:
```
SrLiPrTe3
1.0
11.860 0.000 0.000
0.000 4.520 0.000
0.000 0.000 14.665
Sr Li Pr Te
4 4 4 12
Direct
0.720 0.750 0.504
0.220 0.750 0.996
0.280 0.250 0.496
0.780 0.250 0.004
0.233 0.250 0.771
0.733 0.250 0.729
0.267 0.750 0.271
0.767 0.750 0.229
0.519 0.250 0.241
0.019 0.250 0.259
0.981 0.750 0.741
0.481 0.750 0.759
0.764 0.250 0.336
0.451 0.750 0.387
0.736 0.750 0.836
0.595 0.750 0.103
0.236 0.750 0.664
0.549 0.250 0.613
0.095 0.750 0.397
0.049 0.250 0.887
0.264 0.250 0.164
0.905 0.250 0.603
0.405 0.250 0.897
0.951 0.750 0.113
```

Results
As for the space group: Pnma. For the relative energy among the computed polymorphs, the calculation gives 0.0 meV/atom.

Record 18
Compound: SrLiPrTe3
Source: OQMD via LeMat-Bulk
Functional: PBE
Structure: relaxed

Geometry as POSCAR:
```
SrLiPrTe3
1.0
-4.891 2.071 5.524
2.475 -5.734 -4.442
8.032 -2.877 8.190
Pr Te Li Sr
2 6 2 2
Direct
0.000 0.000 0.500
0.000 0.000 0.000
0.644 0.356 0.070
0.914 0.086 0.250
0.086 0.914 0.750
0.356 0.644 0.570
0.644 0.356 0.430
0.356 0.644 0.930
0.477 0.523 0.750
0.523 0.477 0.250
0.755 0.245 0.750
0.245 0.755 0.250
```

Results
As for the space group: Cmcm. For the relative energy among the computed polymorphs, the calculation gives 4.0 meV/atom.

Record 19
Compound: SrLiPrTe3
Source: OQMD via LeMat-Bulk
Functional: PBE
Structure: relaxed

Geometry as POSCAR:
```
SrLiPrTe3
1.0
9.760 -2.254 0.000
9.760 2.254 0.000
-2.300 0.000 9.082
Sr Li Pr Te
2 2 2 6
Direct
0.868 0.868 0.935
0.132 0.132 0.065
0.498 0.498 0.303
0.502 0.502 0.697
0.167 0.167 0.593
0.833 0.833 0.407
0.500 0.500 0.000
0.000 0.000 0.500
0.664 0.664 0.350
0.679 0.679 0.833
0.321 0.321 0.167
0.336 0.336 0.650
```

Results
As for the space group: C2/m. For the relative energy among the computed polymorphs, the calculation gives 8.6 meV/atom.

Record 20
Compound: Li4PrTa2
Source: OQMD via LeMat-Bulk
Functional: PBE
Structure: relaxed

Geometry as POSCAR:
```
Li4PrTa2
1.0
4.476 -5.297 0.000
4.476 5.297 0.000
-0.007 0.000 2.749
Li Ta Pr
4 2 1
Direct
0.671 0.671 0.511
0.335 0.665 0.000
0.665 0.335 0.000
0.329 0.329 0.489
0.000 0.500 0.500
0.500 0.000 0.500
0.000 0.000 0.000
```

Results
As for the space group: C2/m. The raw total energy comes out at -4.511 eV per atom.